A relaxed structure of Zn2CoRu, computed with PBE-GGA.

a = 4.996 Å, b = 4.996 Å, c = 4.996 Å
α = 146.47°, β = 129.26°, γ = 62.20°
Fractional positions:
Co (0.499, 0.499, 0.000)
Ru (0.260, 0.760, 0.500)
Zn (0.998, 0.998, 0.000)
Zn (0.743, 0.243, 0.500)

Uncorrected energy, eV/atom: -4.664
Excess energy over the best structure of this formula in the dataset, kJ per mole of atoms: 4.9
Space group: Imm2
Calculated formation energy, eV per atom: 0.0684

***

A relaxed structure of Zn2CoRu, computed with PBE-GGA.

a = 2.621 Å, b = 2.621 Å, c = 8.462 Å
α = 90.00°, β = 90.00°, γ = 113.29°
Fractional positions:
Co (0.500, 0.500, 0.250)
Ru (0.500, 0.500, 0.750)
Zn (0.000, 0.000, 0.010)
Zn (0.000, 0.000, 0.490)

Uncorrected energy, eV/atom: -4.614
Excess energy over the best structure of this formula in the dataset, kJ per mole of atoms: 9.7
Space group: Cmmm
Calculated formation energy, eV per atom: 0.1179

***

A relaxed structure of Zn2CoRu, computed with PBE-GGA.

a = 6.746 Å, b = 6.746 Å, c = 5.403 Å
α = 51.37°, β = 51.37°, γ = 90.00°
Fractional positions:
Ru (0.000, 0.000, 0.000)
Ru (0.750, 0.250, 0.500)
Zn (0.610, 0.125, 0.250)
Zn (0.140, 0.625, 0.250)
Zn (0.375, 0.390, 0.750)
Zn (0.875, 0.860, 0.750)
Co (0.500, 0.500, 0.000)
Co (0.250, 0.750, 0.500)

Uncorrected energy, eV/atom: -4.298
Excess energy over the best structure of this formula in the dataset, kJ per mole of atoms: 40.2
Space group: I-42d
Calculated formation energy, eV per atom: 0.4343

***

What is the excess energy over the best structure of this formula in the dataset in the second record? 9.7 kJ per mole of atoms

***

Look up the uncorrected energy of the first one. -4.664 eV/atom